1.
Compound: Tb6Nd2Sm3
Source: Alexandria via LeMat-Bulk
Functional: GGA-PBE
Structure: optimized geometry

Lattice parameters (Å, degrees): 17.076 17.076 17.076 163.91 163.91 22.83
Element x y z (fractional)
Tb1 0.121 0.621 0.500
Tb2 0.195 0.195 0.000
Tb3 0.379 0.879 0.500
Tb4 0.621 0.121 0.500
Tb5 0.805 0.805 0.000
Tb6 0.879 0.379 0.500
Nd1 0.046 0.046 0.000
Nd2 0.954 0.954 0.000
Sm1 0.298 0.298 0.000
Sm2 0.500 0.500 0.000
Sm3 0.702 0.702 0.000

crystal system: tetragonal
E above lowest polymorph: 77 meV per atom
E_form: 25.08 kJ/mol of atoms
Fermi-level density of states: 1.4304 states/eV/atom
total magnetic moment: 0.000 μB per atom
calculated total energy: -48.615 eV per formula unit



2.
Compound: CsBaO3
Source: Alexandria via LeMat-Bulk
Functional: GGA-PBE
Structure: optimized geometry

Lattice parameters (Å, degrees): 4.554 4.554 4.554 90.00 90.00 90.00
Element x y z (fractional)
Cs1 0.000 0.000 0.000
Ba1 0.500 0.500 0.500
O1 0.000 0.000 0.500
O2 0.000 0.500 0.000
O3 0.500 0.000 0.000

crystal system: cubic
Fermi-level density of states: 0.2177 states/eV/atom
formation energy without anion corrections: -69 kJ per mole of atoms
total magnetic moment: 0.000 μB per atom
calculated total energy: -21.225 eV per formula unit



3.
Compound: LiZnSe2
Source: Alexandria via LeMat-Bulk
Functional: GGA-PBE
Structure: optimized geometry

Lattice parameters (Å, degrees): 4.015 4.015 6.600 90.00 90.00 122.12
Element x y z (fractional)
Li1 0.000 0.000 0.000
Zn1 0.000 0.000 0.500
Se1 0.500 0.500 0.255
Se2 0.500 0.500 0.745

crystal system: orthorhombic
E above lowest polymorph: 190 meV per atom
Fermi-level density of states: 0.6902 states/eV/atom
formation energy without anion corrections: -40 kJ per mole of atoms
total magnetic moment: 0.000 μB per atom
calculated total energy: -11.813 eV per formula unit



4.
Compound: Sc2PtW
Source: Alexandria via LeMat-Bulk
Functional: GGA-PBE
Structure: optimized geometry

Lattice parameters (Å, degrees): 4.663 4.663 4.663 60.00 60.00 60.00
Element x y z (fractional)
Sc1 0.250 0.250 0.250
Sc2 0.750 0.750 0.750
Pt1 0.000 0.000 0.000
W1 0.500 0.500 0.500

crystal system: cubic
E above lowest polymorph: 148 meV per atom
E_form: -23.73 kJ/mol of atoms
Fermi-level density of states: 1.4481 states/eV/atom
total magnetic moment: 0.236 μB per atom
calculated total energy: -32.641 eV per formula unit



5.
Compound: CaTm2S4
Source: Alexandria via LeMat-Bulk
Functional: GGA-PBE
Structure: optimized geometry

Lattice parameters (Å, degrees): 6.665 6.665 13.181 90.00 90.00 146.31
Element x y z (fractional)
Ca1 0.113 0.887 0.500
Ca2 0.887 0.113 0.000
Tm1 0.361 0.639 0.687
Tm2 0.371 0.629 0.329
Tm3 0.629 0.371 0.829
Tm4 0.639 0.361 0.187
S1 0.008 0.992 0.265
S2 0.267 0.733 0.874
S3 0.277 0.723 0.141
S4 0.458 0.542 0.510
S5 0.542 0.458 0.010
S6 0.723 0.277 0.641
S7 0.733 0.267 0.374
S8 0.992 0.008 0.765

crystal system: orthorhombic
E above lowest polymorph: 13 meV per atom
formation energy without anion corrections: -202 kJ per mole of atoms
total magnetic moment: 0.000 μB per atom
calculated total energy: -42.118 eV per formula unit



6.
Compound: CePm2Tc2
Source: Alexandria via LeMat-Bulk
Functional: GGA-PBE
Structure: optimized geometry

Lattice parameters (Å, degrees): 6.097 6.097 6.097 138.75 125.02 71.00
Element x y z (fractional)
Ce1 0.000 0.000 0.000
Pm1 0.302 0.802 0.500
Pm2 0.698 0.198 0.500
Tc1 0.261 0.500 0.761
Tc2 0.739 0.500 0.239

crystal system: orthorhombic
E_form: -8.16 kJ/mol of atoms
Fermi-level density of states: 1.0504 states/eV/atom
total magnetic moment: 0.000 μB per atom
calculated total energy: -36.590 eV per formula unit



Question: The highest total magnetic moment belongs to which entry?
Answer: Sc2PtW



Question: What is the total magnetic moment in the sixth record?
Answer: 0.000 μB per atom



Question: Which of these has the lowest calculated total energy?
Answer: Tb6Nd2Sm3



Question: What is the calculated total energy in the second record?
Answer: -21.225 eV per formula unit